First-principles (PBE) data for a relaxed ErSc3Pb2 crystal, as listed in Alexandria.

Cell lengths 7.9551, 7.9551, 4.1989 Å; angles 90.00, 90.00, 145.55 degrees
Element x y z (fractional)
Er 0.0000 0.0000 0.0000
Sc 0.1752 0.8248 0.5000
Sc 0.5000 0.5000 0.5000
Sc 0.8248 0.1752 0.5000
Pb 0.3481 0.6519 0.0000
Pb 0.6519 0.3481 0.0000

Output
The energy above the most stable polymorph in this dataset comes out at 0.047 eV per atom. For the calculated total energy, the calculation gives -32.81 eV/cell. Its space group is No. 65.

First-principles (PBE) data for a relaxed K2TbCeTe4 crystal, as listed in Alexandria.

Cell lengths 7.9484, 4.5882, 8.6443 Å; angles 90.00, 107.80, 90.00 degrees
Element x y z (fractional)
K 0.0000 0.0000 0.0000
K 0.5000 0.5000 0.0000
Tb 0.0000 0.5000 0.5000
Ce 0.5000 0.0000 0.5000
Te 0.2299 0.0000 0.7100
Te 0.2556 0.5000 0.2871
Te 0.7444 0.5000 0.7129
Te 0.7701 0.0000 0.2900

Output
The value obtained for the uncorrected formation energy is -1059 kJ/mol of formula units. For the calculated total energy, the calculation gives -36.30 eV/cell. Its space group is No. 10.

First-principles (PBE) data for a relaxed Dy6As2HSe3 crystal, as listed in Alexandria.

Cell lengths 8.9993, 8.9993, 8.0803 Å; angles 104.22, 104.22, 26.06 degrees
Element x y z (fractional)
Dy 0.0018 0.0018 0.2589
Dy 0.3302 0.3302 0.9230
Dy 0.3425 0.3425 0.4176
Dy 0.6575 0.6575 0.5824
Dy 0.6698 0.6698 0.0770
Dy 0.9982 0.9982 0.7411
As 0.1631 0.1631 0.8290
As 0.8369 0.8369 0.1710
H 0.5000 0.5000 0.5000
Se 0.1719 0.1719 0.3348
Se 0.5000 0.5000 0.0000
Se 0.8281 0.8281 0.6652

Output
For the calculated total energy, the calculation gives -67.73 eV/cell. Its space group is No. 12.

| no. | D(E_F) (states/eV/cell) |
| --- | --- |
| 1 | 6.61 |
| 2 | 6.24 |
| 3 | 6.14 |